{
  "formula": "CaTeP",
  "functional": "PBE",
  "state": "optimized geometry",
  "cell": [[6.954, 0.000, 0.000], [0.000, 6.954, 0.000], [0.000, 0.000, 6.954]],
  "species": ["Ca", "Ca", "Ca", "Ca", "Te", "Te", "Te", "Te", "P", "P", "P", "P"],
  "frac_coords": [[0.000, 0.000, 0.000], [0.000, 0.500, 0.500], [0.500, 0.000, 0.500], [0.500, 0.500, 0.000], [0.000, 0.000, 0.500], [0.000, 0.500, 0.000], [0.500, 0.000, 0.000], [0.500, 0.500, 0.500], [0.250, 0.250, 0.750], [0.250, 0.750, 0.250], [0.750, 0.250, 0.250], [0.750, 0.750, 0.750]],
  "n_ef_per_ev_cell": 9.1,
  "sg": "F-43m",
  "final_energy_ev_per_cell": -46.1,
  "m_tot_mub_per_fu": 0.00,
  "vol_a3_per_cell": 336.3,
  "crystal_system": "cubic"
}

=====

{
  "formula": "CaTeP2",
  "functional": "PBE",
  "state": "optimized geometry",
  "cell": [[12.402, 0.000, 0.000], [0.000, 3.975, 0.000], [-0.386, 0.000, 4.178]],
  "species": ["Ca", "Ca", "Te", "Te", "P", "P", "P", "P"],
  "frac_coords": [[0.000, 0.000, 0.000], [0.500, 0.500, 0.000], [0.261, 0.000, 0.000], [0.761, 0.500, 0.000], [0.029, 0.500, 0.513], [0.201, 0.500, 0.575], [0.529, 0.000, 0.513], [0.701, 0.000, 0.575]],
  "n_ef_per_ev_cell": 0.5,
  "sg": "Cm",
  "final_energy_ev_per_cell": -35.9,
  "m_tot_mub_per_fu": 0.00,
  "vol_a3_per_cell": 206.0,
  "crystal_system": "monoclinic"
}

=====

{
  "formula": "CaTeP2",
  "functional": "PBE",
  "state": "optimized geometry",
  "cell": [[4.758, 0.000, 0.000], [0.000, 3.771, 0.000], [-2.273, 0.000, 5.435]],
  "species": ["Ca", "Te", "P", "P"],
  "frac_coords": [[0.000, 0.000, 0.000], [0.574, 0.500, 0.177], [0.168, 0.000, 0.560], [0.471, 0.500, 0.707]],
  "n_ef_per_ev_cell": 0.8,
  "sg": "Pm",
  "final_energy_ev_per_cell": -17.8,
  "m_tot_mub_per_fu": 0.00,
  "vol_a3_per_cell": 97.5,
  "crystal_system": "monoclinic"
}

=====

{
  "formula": "CaTeP2",
  "functional": "PBE",
  "state": "optimized geometry",
  "cell": [[11.194, 0.000, 0.000], [0.000, 3.288, 0.000], [-0.967, 0.000, 5.624]],
  "species": ["Ca", "Ca", "Te", "Te", "P", "P", "P", "P"],
  "frac_coords": [[0.000, 0.000, 0.000], [0.500, 0.500, 0.000], [0.000, 0.500, 0.500], [0.500, 0.000, 0.500], [0.246, 0.500, 0.126], [0.254, 0.000, 0.874], [0.746, 0.000, 0.126], [0.754, 0.500, 0.874]],
  "n_ef_per_ev_cell": 4.7,
  "sg": "C2/m",
  "final_energy_ev_per_cell": -35.1,
  "m_tot_mub_per_fu": 0.00,
  "vol_a3_per_cell": 207.0,
  "crystal_system": "monoclinic"
}

=====

{
  "formula": "CaTh4P5",
  "functional": "PBE",
  "state": "optimized geometry",
  "cell": [[-4.637, 4.637, 2.925], [4.637, -4.637, 2.925], [4.637, 4.637, -2.925]],
  "species": ["Ca", "Th", "Th", "Th", "Th", "P", "P", "P", "P", "P"],
  "frac_coords": [[0.000, 0.000, 0.000], [0.201, 0.602, 0.803], [0.398, 0.201, 0.600], [0.602, 0.799, 0.400], [0.799, 0.398, 0.197], [0.100, 0.302, 0.401], [0.302, 0.900, 0.202], [0.500, 0.500, 0.000], [0.698, 0.100, 0.798], [0.900, 0.698, 0.599]],
  "n_ef_per_ev_cell": 5.2,
  "sg": "I4/m",
  "final_energy_ev_per_cell": -73.7,
  "m_tot_mub_per_fu": 0.00,
  "formation_enthalpy_0k_ev_per_atom": -1.493,
  "vol_a3_per_cell": 251.5,
  "crystal_system": "tetragonal"
}

=====

{
  "formula": "CaTmTh2P4",
  "functional": "PBE",
  "state": "optimized geometry",
  "cell": [[7.022, 0.000, 0.000], [0.000, 4.117, 0.000], [-2.407, 0.000, 6.724]],
  "species": ["Ca", "Tm", "Th", "Th", "P", "P", "P", "P"],
  "frac_coords": [[0.000, 0.000, 0.000], [0.000, 0.500, 0.500], [0.500, 0.000, 0.500], [0.500, 0.500, 0.000], [0.244, 0.000, 0.744], [0.250, 0.500, 0.255], [0.750, 0.500, 0.745], [0.756, 0.000, 0.256]],
  "n_ef_per_ev_cell": 1.7,
  "sg": "P2/m",
  "final_energy_ev_per_cell": -54.8,
  "m_tot_mub_per_fu": 0.00,
  "formation_enthalpy_0k_ev_per_atom": -1.485,
  "vol_a3_per_cell": 194.4,
  "crystal_system": "monoclinic"
}

=====

{
  "formula": "CaTh2UP4",
  "functional": "PBE",
  "state": "optimized geometry",
  "cell": [[5.784, 0.000, 0.000], [0.000, 5.784, 0.000], [0.000, 0.000, 11.568]],
  "species": ["Ca", "Ca", "Th", "Th", "Th", "Th", "U", "U", "P", "P", "P", "P", "P", "P", "P", "P"],
  "frac_coords": [[0.000, 0.000, 0.000], [0.500, 0.500, 0.500], [0.000, 0.000, 0.500], [0.000, 0.500, 0.250], [0.500, 0.000, 0.750], [0.500, 0.500, 0.000], [0.000, 0.500, 0.750], [0.500, 0.000, 0.250], [0.000, 0.000, 0.250], [0.000, 0.000, 0.750], [0.000, 0.500, 0.507], [0.000, 0.500, 0.993], [0.500, 0.000, 0.007], [0.500, 0.000, 0.493], [0.500, 0.500, 0.250], [0.500, 0.500, 0.750]],
  "n_ef_per_ev_cell": 15.7,
  "sg": "I-4m2",
  "final_energy_ev_per_cell": -120.4,
  "m_tot_mub_per_fu": 2.30,
  "formation_enthalpy_0k_ev_per_atom": -1.303,
  "vol_a3_per_cell": 387.0,
  "crystal_system": "tetragonal"
}

=====

{
  "formula": "Ca3Th2UP6",
  "functional": "PBE",
  "state": "optimized geometry",
  "cell": [[3.585, -6.208, 0.000], [3.585, 6.208, 0.000], [-2.392, 0.000, 6.679]],
  "species": ["Ca", "Ca", "Ca", "Th", "Th", "U", "P", "P", "P", "P", "P", "P"],
  "frac_coords": [[0.000, 0.000, 0.000], [0.332, 0.668, 0.000], [0.668, 0.332, 0.000], [0.166, 0.834, 0.500], [0.834, 0.166, 0.500], [0.500, 0.500, 0.500], [0.100, 0.422, 0.265], [0.257, 0.257, 0.734], [0.422, 0.100, 0.265], [0.578, 0.900, 0.735], [0.743, 0.743, 0.266], [0.900, 0.578, 0.735]],
  "n_ef_per_ev_cell": 6.2,
  "sg": "C2/m",
  "final_energy_ev_per_cell": -79.9,
  "m_tot_mub_per_fu": 1.75,
  "formation_enthalpy_0k_ev_per_atom": -1.277,
  "vol_a3_per_cell": 297.3,
  "crystal_system": "monoclinic"
}